Zn2TeS: relaxed, GGA-PBE.

a = 13.5961 Å, b = 4.1194 Å, c = 7.1146 Å
α = 90.00°, β = 100.31°, γ = 90.00°
Closest atoms and distances in Å follow each position.
Atoms (fractional coordinates):
Zn 0.0000 0.0000 0.0000  3 S 2.37-2.43
Zn 0.0162 0.5000 0.4555  1 S 2.35, 2 Te 2.63
Zn 0.2443 0.5000 0.2054  2 S 2.39-2.40, 2 Te 2.63
Zn 0.2716 0.0000 0.7606  2 S 2.42, 2 Te 2.64-2.66
Zn 0.5000 0.5000 0.0000  3 S 2.37-2.43
Zn 0.5162 0.0000 0.4555  1 S 2.35, 2 Te 2.63
Zn 0.7443 0.0000 0.2054  2 S 2.39-2.40, 2 Te 2.63
Zn 0.7716 0.5000 0.7606  2 S 2.42, 2 Te 2.64-2.66
Te 0.0744 0.0000 0.6777  4 Zn 2.63-2.67
Te 0.3186 0.0000 0.4132  4 Zn 2.63-2.66
Te 0.5744 0.5000 0.6777  4 Zn 2.63-2.67
Te 0.8186 0.5000 0.4132  4 Zn 2.63-2.66
S 0.0657 0.5000 0.1554  4 Zn 2.35-2.43
S 0.3227 0.5000 0.9293  4 Zn 2.37-2.42
S 0.5657 0.0000 0.1554  4 Zn 2.35-2.43
S 0.8227 0.0000 0.9293  4 Zn 2.37-2.42

* symmetry: Cm (8)
* formation energy from raw total energies: -591 meV/atom